Density functional theory data (PBE) for crystalline Cs3Nd2O4 at its relaxed geometry.

a = 7.437 Å, b = 7.437 Å, c = 12.214 Å
α = 68.41°, β = 68.41°, γ = 28.50°
Sites, in units of the cell vectors:
Cs (0.574, 0.574, 0.640)
Cs (0.000, 0.000, 0.000)
Cs (0.426, 0.426, 0.360)
Nd (0.688, 0.688, 0.133)
Nd (0.312, 0.312, 0.867)
O (0.308, 0.308, 0.054)
O (0.922, 0.922, 0.790)
O (0.078, 0.078, 0.210)
O (0.692, 0.692, 0.946)

For the total energy, the calculation gives -5.639 eV/atom. The calculation puts the formation energy from raw total energies at -2.091 eV/atom. Its space-group type is C2/m, No. 12.